Record 1
CeMn2Si2Ge: relaxed, PBE-GGA.

a = 4.396 Å, b = 4.396 Å, c = 5.473 Å
α = 90.00°, β = 90.00°, γ = 90.00°
Sites, in units of the cell vectors:
Ce  0.000  0.000  0.000
Mn  0.000  0.500  0.500
Mn  0.500  0.000  0.500
Si  0.500  0.500  0.243
Si  0.500  0.500  0.757
Ge  0.000  0.000  0.500

Values from the calculation:
Total magnetic moment: 3.07 μB per formula unit
Symmetry: P4/mmm
Energy relative to the elements, uncorrected: -0.08 eV/atom


Record 2
KVHg: relaxed, PBE-GGA.

a = 4.244 Å, b = 4.244 Å, c = 11.830 Å
α = 96.04°, β = 96.04°, γ = 66.13°
Sites, in units of the cell vectors:
K  0.200  0.200  0.326
K  0.800  0.800  0.674
V  0.135  0.135  0.998
V  0.865  0.865  0.002
Hg  0.474  0.474  0.871
Hg  0.526  0.526  0.129

Values from the calculation:
ΔE_f: 0.350 eV/atom
Total magnetic moment: 0.00 μB per formula unit
Symmetry: C2/m


Record 3
Tl3CoSi: relaxed, PBE-GGA.

a = 5.319 Å, b = 5.319 Å, c = 5.319 Å
α = 90.00°, β = 90.00°, γ = 90.00°
Sites, in units of the cell vectors:
Tl  0.000  0.000  0.500
Tl  0.000  0.500  0.000
Tl  0.500  0.000  0.000
Co  0.500  0.500  0.500
Si  0.000  0.000  0.000

Values from the calculation:
Total magnetic moment: 1.68 μB per formula unit
Symmetry: Pm-3m
Energy relative to the elements, uncorrected: 1.06 eV/atom


Record 4
Co2AgHPt: relaxed, PBE-GGA.

a = 3.889 Å, b = 3.889 Å, c = 3.846 Å
α = 90.00°, β = 90.00°, γ = 90.00°
Sites, in units of the cell vectors:
Co  0.000  0.500  0.000
Co  0.500  0.000  0.000
Ag  0.000  0.000  0.500
H  0.500  0.500  0.000
Pt  0.500  0.500  0.500

Values from the calculation:
DFT total energy: -5.09 eV/atom
Total magnetic moment: 3.63 μB per formula unit
Symmetry: P4/mmm


Record 5
Ho3AgPt: relaxed, PBE-GGA.

a = 5.541 Å, b = 6.384 Å, c = 8.262 Å
α = 99.99°, β = 101.98°, γ = 112.60°
Sites, in units of the cell vectors:
Ho  0.059  0.197  0.308
Ho  0.298  0.450  0.741
Ho  0.304  0.818  0.119
Ho  0.696  0.182  0.881
Ho  0.702  0.550  0.259
Ho  0.941  0.803  0.692
Ag  0.347  0.757  0.486
Ag  0.653  0.243  0.514
Pt  0.241  0.203  0.993
Pt  0.759  0.797  0.007

Values from the calculation:
ΔE_f: -0.610 eV/atom
Total magnetic moment: 0.00 μB per formula unit
Symmetry: P-1


Record 6
PaSbPtSe: relaxed, PBE-GGA.

a = 4.524 Å, b = 4.524 Å, c = 8.557 Å
α = 90.00°, β = 90.00°, γ = 90.00°
Sites, in units of the cell vectors:
Pa  0.250  0.250  0.224
Pa  0.750  0.750  0.776
Sb  0.250  0.250  0.682
Sb  0.750  0.750  0.318
Pt  0.250  0.750  0.500
Pt  0.750  0.250  0.500
Se  0.250  0.750  0.000
Se  0.750  0.250  0.000

Values from the calculation:
Total magnetic moment: 0.00 μB per formula unit
Symmetry: P4/nmm
Energy relative to the elements, uncorrected: -0.87 eV/atom


Record 7
SmAl5Ni3: relaxed, PBE-GGA.

a = 6.466 Å, b = 6.466 Å, c = 12.195 Å
α = 90.00°, β = 90.00°, γ = 144.64°
Sites, in units of the cell vectors:
Sm  0.165  0.835  0.750
Sm  0.835  0.165  0.250
Al  0.000  0.000  0.000
Al  0.000  0.000  0.500
Al  0.204  0.796  0.065
Al  0.204  0.796  0.435
Al  0.443  0.557  0.648
Al  0.443  0.557  0.852
Al  0.557  0.443  0.148
Al  0.557  0.443  0.352
Al  0.796  0.204  0.565
Al  0.796  0.204  0.935
Ni  0.124  0.876  0.250
Ni  0.393  0.607  0.039
Ni  0.393  0.607  0.461
Ni  0.607  0.393  0.539
Ni  0.607  0.393  0.961
Ni  0.876  0.124  0.750

Values from the calculation:
ΔE_f: -0.517 eV/atom
Total magnetic moment: 0.00 μB per formula unit
Symmetry: Cmcm


Record 8
PmPr3Te4: relaxed, PBE-GGA.

a = 7.848 Å, b = 7.848 Å, c = 4.471 Å
α = 90.00°, β = 90.00°, γ = 108.95°
Sites, in units of the cell vectors:
Pm  0.000  0.000  0.000
Pr  0.000  0.500  0.500
Pr  0.500  0.000  0.500
Pr  0.500  0.500  0.000
Te  0.247  0.247  0.500
Te  0.248  0.752  0.000
Te  0.752  0.248  0.000
Te  0.753  0.753  0.500

Values from the calculation:
Total magnetic moment: 0.00 μB per formula unit
Symmetry: Cmmm
Energy relative to the elements, uncorrected: -1.43 eV/atom